First-principles (GGA-PBE) data for an optimized crystal structure of Dy2HgRu, as listed in Alexandria.

Cell: 3.4744 3.4744 7.5283 Å, 90.00 90.00 90.00°
Fractional coordinates of all 4 atoms:
Hg1 0.5000 0.5000 0.5000
Dy1 0.0000 0.0000 0.2200
Dy2 0.0000 0.0000 0.7800
Ru1 0.5000 0.5000 0.0000

Properties
The value obtained for the calculated volume is 22.72 Å³ per atom. As for the relative energy among the computed polymorphs: 0.0000 eV/atom.